## one
A plane-wave DFT calculation with PBE-GGA was carried out for La2Cu2Se after structural relaxation.

```
La2Cu2Se
1.0
-2.497 5.793 -5.070
-7.424 -3.221 -0.023
-1.020 2.330 3.164
Cu Se La
4 2 4
Cartesian
-5.274 -0.173 1.031
-8.661 1.796 -1.511
-5.668 5.075 -2.959
-2.281 3.106 -0.418
0.000 0.000 0.000
-4.961 1.286 -2.546
-6.868 -0.792 -1.631
-7.106 2.542 -4.163
-3.054 3.364 -3.462
-2.816 0.030 -0.930
```

Results
- N(E_F): 5.9 states/eV per cell
- Symmetry: P4/mbm
- Total magnetic moment: 0.0 μB per formula unit

---

## two
A plane-wave DFT calculation with PBE-GGA was carried out for La2Cu2Se after structural relaxation.

```
La2Cu2Se
1.0
7.797 0.000 0.000
0.000 7.797 0.000
0.000 0.000 3.885
Cu Se La
4 2 4
Cartesian
3.038 6.937 0.000
6.937 4.759 0.000
4.759 0.860 0.000
0.860 3.038 0.000
0.000 0.000 0.000
3.898 3.898 0.000
1.434 5.332 1.942
5.332 6.363 1.942
6.363 2.465 1.942
2.465 1.434 1.942
```

Results
- N(E_F): 6.4 states/eV per cell
- Symmetry: P4/mbm
- Total magnetic moment: 0.0 μB per formula unit

---

## three
A plane-wave DFT calculation with PBE-GGA was carried out for La2Cu2Se after structural relaxation.

```
La2Cu2Se
1.0
3.655 0.000 0.000
0.000 3.655 0.000
1.828 1.828 8.668
Cu Se La
2 1 2
Cartesian
3.655 1.828 4.334
1.828 3.655 4.334
0.000 0.000 0.000
1.828 1.828 1.876
3.655 3.655 6.791
```

Results
- N(E_F): 5.6 states/eV per cell
- Symmetry: I4/mmm
- Total magnetic moment: 0.0 μB per formula unit

---

Stability summary - winner: three; margin: 0.052 eV/atom.

---

## one
A plane-wave DFT calculation with PBE-GGA was carried out for LaSm2Cu after structural relaxation.

```
LaSm2Cu
1.0
-2.398 -2.661 0.462
1.768 -2.014 -2.421
4.999 -3.383 6.463
Cu Sm La
1 2 1
Cartesian
-0.315 -2.337 -0.980
4.038 -2.733 5.221
0.961 -0.650 1.243
2.184 -4.029 2.252
```

Results
- N(E_F): 4.4 states/eV per cell
- Symmetry: P4/mmm
- Total magnetic moment: 0.0 μB per formula unit

---

## two
A plane-wave DFT calculation with PBE-GGA was carried out for LaSm2Cu after structural relaxation.

```
LaSm2Cu
1.0
3.691 0.000 0.000
1.845 3.196 0.000
1.845 1.065 10.186
Cu Sm La
1 2 1
Cartesian
0.000 0.000 0.000
1.845 1.065 2.028
5.536 3.196 8.158
3.691 2.131 5.093
```

Results
- N(E_F): 5.6 states/eV per cell
- Symmetry: R-3m
- Total magnetic moment: 0.0 μB per formula unit

---

Stability summary - winner: one; margin: 0.119 eV/atom.

---

## one
A plane-wave DFT calculation with PBE-GGA was carried out for LaCu3Sn3 after structural relaxation.

```
LaCu3Sn3
1.0
7.022 0.000 0.000
3.511 6.082 0.000
3.511 2.027 7.588
La Cu Sn
2 6 6
Cartesian
7.022 4.054 7.433
7.022 4.054 0.155
7.905 5.309 4.772
7.668 2.663 4.772
5.494 4.191 4.772
8.550 3.918 2.817
6.377 5.446 2.817
6.140 2.799 2.817
4.012 4.297 2.163
8.317 1.326 2.163
8.738 6.540 2.163
5.307 1.569 5.425
5.728 6.783 5.425
10.033 3.811 5.425
```

Results
- N(E_F): 5.0 states/eV per cell
- Symmetry: R-3
- Total magnetic moment: 0.0 μB per formula unit

---

## two
A plane-wave DFT calculation with PBE-GGA was carried out for LaCu3Sn3 after structural relaxation.

```
LaCu3Sn3
1.0
7.089 0.000 0.000
0.000 7.089 0.000
0.000 0.000 7.089
Sn Cu La
6 6 2
Cartesian
0.000 1.772 3.545
0.000 5.317 3.545
3.545 0.000 5.317
5.317 3.545 0.000
3.545 0.000 1.772
1.772 3.545 0.000
1.772 0.000 3.545
0.000 3.545 1.772
3.545 5.317 0.000
5.317 0.000 3.545
0.000 3.545 5.317
3.545 1.772 0.000
3.545 3.545 3.545
0.000 0.000 0.000
```

Results
- N(E_F): 8.9 states/eV per cell
- Symmetry: Pm-3n
- Total magnetic moment: 0.0 μB per formula unit

---

Stability summary - winner: one; margin: 0.174 eV/atom.

---

## one
A plane-wave DFT calculation with PBE-GGA was carried out for LaCu3Sn after structural relaxation.

```
LaCu3Sn
1.0
4.851 0.000 0.000
0.000 4.851 0.000
0.000 0.000 4.851
Sn Cu La
1 3 1
Cartesian
0.000 0.000 0.000
0.000 2.426 0.000
0.000 0.000 2.426
2.426 0.000 0.000
2.426 2.426 2.426
```

Results
- N(E_F): 3.8 states/eV per cell
- Symmetry: Pm-3m
- Total magnetic moment: 0.0 μB per formula unit

---

## two
A plane-wave DFT calculation with PBE-GGA was carried out for LaCu3Sn after structural relaxation.

```
LaCu3Sn
1.0
5.194 0.000 0.000
0.000 5.194 0.000
0.000 0.000 5.194
Sn Cu La
1 3 1
Cartesian
2.597 2.597 2.597
0.000 2.597 0.000
0.000 0.000 2.597
2.597 0.000 0.000
0.000 0.000 0.000
```

Results
- N(E_F): 5.3 states/eV per cell
- Symmetry: Pm-3m
- Total magnetic moment: 0.0 μB per formula unit

---

Stability summary - winner: one; margin: 0.842 eV/atom.